1.
First-principles (GGA-PBE) data for an optimized crystal structure of HfSc2AuO, as listed in Alexandria.

```
HfSc2AuO
1.0
-4.152 1.114 -0.769
0.052 -2.348 -3.681
-1.363 -3.537 2.237
Sc O Hf Au
2 1 1 1
Direct
0.000 0.500 0.000 Sc
0.500 0.000 0.000 Sc
0.000 0.000 0.000 O
0.000 0.000 0.500 Hf
0.500 0.500 0.500 Au
```

Values from the calculation:
Magnetic moment in μB per formula unit: 0.00
DFT total energy in eV per atom: -7.6402
Formation energy from raw total energies in eV/atom: -1.47



2.
First-principles (GGA-PBE) data for an optimized crystal structure of LiCaTbGa, as listed in Alexandria.

```
LiCaTbGa
1.0
-3.836 -2.692 -2.228
-2.379 -3.787 2.630
-4.891 0.637 1.610
Ca Li Ga Tb
1 1 1 1
Direct
0.500 0.500 0.500 Ca
0.750 0.750 0.750 Li
0.250 0.250 0.250 Ga
0.000 0.000 0.000 Tb
```

Values from the calculation:
Calculated formation energy in eV per atom: -0.270
Magnetic moment in μB per formula unit: 0.00
DFT total energy in eV per atom: -3.1632



3.
First-principles (GGA-PBE) data for an optimized crystal structure of TbErLu, as listed in Alexandria.

```
TbErLu
1.0
-0.257 3.189 1.165
-2.140 1.605 -4.863
-3.350 -1.754 4.062
Lu Er Tb
1 1 1
Direct
0.166 0.000 0.000 Lu
0.168 0.333 0.667 Er
0.667 0.667 0.333 Tb
```

Values from the calculation:
Calculated formation energy in eV per atom: 0.082
Magnetic moment in μB per formula unit: 0.00
DFT total energy in eV per atom: -4.4893
E above lowest polymorph in meV/atom: 56